! TbDyAlSi2 | OQMD | PBE | relaxed; values from VASP
&SYSTEM
  ibrav = 0, nat = 5, ntyp = 4
/
ATOMIC_SPECIES
Tb 158.93 Tb.upf
Dy 162.50 Dy.upf
Al 26.98 Al.upf
Si 28.09 Si.upf
CELL_PARAMETERS angstrom
-2.043 2.857 4.381
2.043 -2.857 4.381
2.043 2.857 -4.381
ATOMIC_POSITIONS crystal
Tb 0.000 0.000 0.000
Dy 0.579 0.579 0.000
Al 0.289 0.789 0.500
Si 0.000 0.289 0.711
Si 0.579 0.289 0.289
! - Symmetry: No. 44
! - VASP energy: -27.43 eV per formula unit


! DyTmAl3Si2 | OQMD | PBE | relaxed; values from VASP
&SYSTEM
  ibrav = 0, nat = 7, ntyp = 4
/
ATOMIC_SPECIES
Dy 162.50 Dy.upf
Tm 168.93 Tm.upf
Al 26.98 Al.upf
Si 28.09 Si.upf
CELL_PARAMETERS angstrom
5.057 -2.015 0.000
5.057 2.015 0.000
-1.237 0.000 6.470
ATOMIC_POSITIONS crystal
Dy 0.000 0.000 0.000
Tm 0.239 0.239 0.645
Al 0.314 0.314 0.191
Al 0.620 0.620 0.324
Al 0.924 0.924 0.457
Si 0.526 0.526 0.682
Si 0.713 0.713 0.962
! - Symmetry: No. 8
! - VASP energy: -34.93 eV per formula unit


! DyYAl3Si2 | OQMD | PBE | relaxed; values from VASP
&SYSTEM
  ibrav = 0, nat = 7, ntyp = 4
/
ATOMIC_SPECIES
Dy 162.50 Dy.upf
Y 88.91 Y.upf
Al 26.98 Al.upf
Si 28.09 Si.upf
CELL_PARAMETERS angstrom
5.091 -2.024 0.000
5.091 2.024 0.000
-1.273 0.000 6.496
ATOMIC_POSITIONS crystal
Dy 0.000 0.000 0.000
Y 0.239 0.239 0.645
Al 0.315 0.315 0.189
Al 0.619 0.619 0.322
Al 0.925 0.925 0.455
Si 0.527 0.527 0.682
Si 0.712 0.712 0.963
! - Symmetry: No. 8
! - VASP energy: -37.01 eV per formula unit


! DyYAlSi2 | OQMD | PBE | relaxed; values from VASP
&SYSTEM
  ibrav = 0, nat = 5, ntyp = 4
/
ATOMIC_SPECIES
Dy 162.50 Dy.upf
Y 88.91 Y.upf
Al 26.98 Al.upf
Si 28.09 Si.upf
CELL_PARAMETERS angstrom
-2.039 2.859 4.366
2.039 -2.859 4.366
2.039 2.859 -4.366
ATOMIC_POSITIONS crystal
Dy 0.000 0.000 0.000
Y 0.421 0.421 0.000
Al 0.711 0.211 0.500
Si 0.000 0.710 0.289
Si 0.421 0.710 0.711
! - Symmetry: No. 44
! - VASP energy: -29.30 eV per formula unit